# 1
7
Lattice="3.658 0.000 0.000 0.000 3.658 0.000 0.000 0.000 6.269" Properties=species:S:1:pos:R:3 comment="HfBeNi5, optimized geometry, DFT GGA-PBE" e_tot_ev_per_cell=-44.6 magmom_total_mub_per_fu=0.00 formation_energy_mev_per_atom=-286 pbc="T T T"
Hf 0.000 0.000 0.000
Be 1.829 1.829 3.135
Ni 0.000 1.829 1.898
Ni 0.000 1.829 4.371
Ni 1.829 0.000 1.898
Ni 1.829 0.000 4.371
Ni 1.829 1.829 0.000



# 2
12
Lattice="4.451 0.000 0.000 -2.226 3.855 0.000 0.000 0.000 6.495" Properties=species:S:1:pos:R:3 comment="LiLaCu2H8, optimized geometry, DFT GGA-PBE" e_tot_ev_per_cell=-41.8 magmom_total_mub_per_fu=0.00 pbc="T T T"
Li 0.000 0.000 0.000
La 0.000 0.000 3.248
Cu 0.000 2.570 1.315
Cu 2.226 1.285 5.180
H -1.443 2.694 5.259
H 0.615 1.258 5.259
H 1.397 0.097 1.236
H 0.000 2.570 2.984
H 2.226 1.285 3.511
H 0.829 3.758 5.259
H 1.611 2.597 1.236
H 3.669 1.161 1.236



# 3
3
Lattice="5.582 0.000 0.000 -2.791 4.835 0.000 0.000 0.000 3.691" Properties=species:S:1:pos:R:3 comment="KHgBi, optimized geometry, DFT GGA-PBE" e_tot_ev_per_cell=-6.0 magmom_total_mub_per_fu=0.00 formation_energy_mev_per_atom=-229 pbc="T T T"
K 0.000 0.000 0.000
Hg 0.000 3.223 1.845
Bi 2.791 1.612 1.845



# 4
8
Lattice="-2.075 2.075 7.408 2.075 -2.075 7.408 2.075 2.075 -7.408" Properties=species:S:1:pos:R:3 comment="Be2CdSi, optimized geometry, DFT GGA-PBE" e_tot_ev_per_cell=-24.0 magmom_total_mub_per_fu=0.00 polymorph_energy_mev_per_atom=47.8 pbc="T T T"
Be 0.303 1.038 1.852
Be -1.038 1.772 5.556
Be -0.303 3.113 1.852
Be 1.038 2.378 5.556
Cd 2.075 0.000 3.704
Cd 0.000 0.000 7.408
Si 0.000 0.000 0.000
Si 0.000 2.075 3.704